[1]
{"formula": "Pm8Si3Te4H", "functional": "PBE", "state": "optimized geometry", "lattice": [[-0.510, 1.239, 8.466], [8.359, -2.410, 0.856], [-2.011, 6.355, -5.390]], "species": ["Pm", "Pm", "Pm", "Pm", "Pm", "Pm", "Pm", "Pm", "Si", "Si", "Si", "Te", "Te", "Te", "Te", "H"], "fractional_positions": [[0.245, 0.723, 0.978], [0.245, 0.723, 0.490], [0.259, 0.277, 0.518], [0.734, 0.723, 0.978], [0.266, 0.277, 0.022], [0.741, 0.723, 0.482], [0.755, 0.277, 0.510], [0.755, 0.277, 0.022], [0.500, 0.500, 0.000], [0.500, 0.500, 0.500], [0.000, 0.500, 0.500], [0.500, 0.000, 0.000], [0.500, 0.000, 0.500], [0.000, 0.000, 0.000], [0.000, 0.000, 0.500], [0.000, 0.500, 0.000]], "total_energy_ev_per_atom": -5.4247, "spacegroup": "R-3m"}

[2]
{"formula": "PmSmH", "functional": "PBE", "state": "optimized geometry", "lattice": [[-2.519, 0.214, -2.813], [-1.704, -5.620, 1.098], [-9.011, 4.375, 8.401]], "species": ["H", "H", "H", "H", "Sm", "Sm", "Sm", "Sm", "Pm", "Pm", "Pm", "Pm"], "fractional_positions": [[0.750, 0.102, 0.211], [0.250, 0.398, 0.789], [0.250, 0.602, 0.289], [0.750, 0.898, 0.711], [0.750, 0.004, 0.045], [0.250, 0.496, 0.955], [0.250, 0.504, 0.455], [0.750, 0.996, 0.545], [0.250, 0.011, 0.790], [0.750, 0.489, 0.210], [0.750, 0.511, 0.710], [0.250, 0.989, 0.290]], "total_energy_ev_per_atom": -4.5487, "spacegroup": "Pnma", "polymorph_energy_mev_per_atom": 0}

[3]
{"formula": "PmSmH2", "functional": "PBE", "state": "optimized geometry", "lattice": [[-2.451, -2.615, 0.304], [0.491, -2.658, 2.374], [-3.560, 1.454, 5.090]], "species": ["Pm", "Sm", "H", "H"], "fractional_positions": [[0.492, 0.492, 0.525], [0.670, 0.670, 0.989], [0.079, 0.079, 0.762], [0.259, 0.259, 0.224]], "total_energy_ev_per_atom": -4.3430, "spacegroup": "R3m", "polymorph_energy_mev_per_atom": 98}

[4]
{"formula": "Pm2SmH", "functional": "PBE", "state": "optimized geometry", "lattice": [[3.696, 0.000, 0.000], [1.848, 3.200, 0.000], [1.848, 1.067, 8.747]], "species": ["H", "Sm", "Pm", "Pm"], "fractional_positions": [[0.000, 0.000, 0.000], [0.500, 0.500, 0.500], [0.279, 0.279, 0.164], [0.721, 0.721, 0.836]], "total_energy_ev_per_atom": -4.5601, "spacegroup": "R-3m", "polymorph_energy_mev_per_atom": 0}

[5]
{"formula": "Pm2Sm2H", "functional": "PBE", "state": "optimized geometry", "lattice": [[-3.614, -2.810, 2.301], [-2.104, -1.023, -4.553], [2.956, -4.156, -0.432]], "species": ["Pm", "Pm", "Sm", "Sm", "H"], "fractional_positions": [[0.500, 0.500, 0.500], [0.500, 0.000, 0.000], [0.000, 0.000, 0.500], [0.000, 0.500, 0.000], [0.000, 0.000, 0.000]], "total_energy_ev_per_atom": -4.6328, "spacegroup": "P4/mmm"}

[6]
{"formula": "Pm2Sm2H", "functional": "PBE", "state": "optimized geometry", "lattice": [[5.120, 0.000, 0.000], [0.000, 5.124, 0.000], [0.000, 0.000, 5.124]], "species": ["Pm", "Pm", "Sm", "Sm", "H"], "fractional_positions": [[0.000, 0.000, 0.500], [0.000, 0.500, 0.000], [0.500, 0.500, 0.500], [0.500, 0.000, 0.000], [0.000, 0.000, 0.000]], "total_energy_ev_per_atom": -4.6321, "spacegroup": "P4/mmm"}

[7]
{"formula": "Pm2SmH", "functional": "PBE", "state": "optimized geometry", "lattice": [[3.676, 0.000, 0.000], [1.838, 3.183, 0.000], [1.838, 1.061, 8.811]], "species": ["Pm", "Pm", "Sm", "H"], "fractional_positions": [[0.054, 0.054, 0.837], [0.279, 0.279, 0.164], [0.500, 0.500, 0.499], [0.667, 0.667, 0.000]], "total_energy_ev_per_atom": -4.5474, "spacegroup": "R3m", "polymorph_energy_mev_per_atom": 13}

[8]
{"formula": "Pm3SmH8", "functional": "PBE", "state": "optimized geometry", "lattice": [[5.397, 0.000, 0.000], [0.000, 5.397, 0.000], [0.000, 0.000, 5.397]], "species": ["Pm", "Pm", "Pm", "Sm", "H", "H", "H", "H", "H", "H", "H", "H"], "fractional_positions": [[0.500, 0.500, 0.000], [0.500, 0.000, 0.500], [0.000, 0.500, 0.500], [0.000, 0.000, 0.000], [0.249, 0.249, 0.751], [0.249, 0.751, 0.249], [0.751, 0.249, 0.249], [0.751, 0.751, 0.751], [0.751, 0.751, 0.249], [0.751, 0.249, 0.751], [0.249, 0.751, 0.751], [0.249, 0.249, 0.249]], "total_energy_ev_per_atom": -4.4911, "spacegroup": "Pm-3m"}